1.
## TbSm3Dy5 (PBE)

Data for TbSm3Dy5 after structural relaxation.

As for the formation energy from the elements: 164 meV per atom. The density of states at the Fermi level is 53.5 states/eV per cell. The uncorrected energy comes out at -4.480 eV per atom. The relative energy among the computed polymorphs comes out at 0.0 meV/atom.

The space group is C2/c (No. 15) and the conventional cell measures 16.4442, 6.7104 and 11.3956 Å, with angles of 90.00, 109.28 and 90.00 degrees. Symmetry generates all atoms from Tb at (0.0000, 0.2274, 0.2500), Sm at (0.0000, 0.0000, 0.0000), Sm at (0.2377, 0.3762, 0.3554), Dy at (0.0000, 0.3197, 0.7500), Dy at (0.1074, 0.4965, 0.5453) and Dy at (0.1756, 0.1199, 0.8722).

---

2.
## Tb7SmDy4 (PBE)

Data for Tb7SmDy4 after structural relaxation.

As for the formation energy from the elements: -2 meV per atom. The density of states at the Fermi level is 15.2 states/eV per cell. The uncorrected energy comes out at -4.630 eV per atom. The relative energy among the computed polymorphs comes out at 0.0 meV/atom.

The space group is P-1 (No. 2) and the conventional cell measures 6.2165, 7.1759 and 8.8421 Å, with angles of 89.98, 76.49 and 89.98 degrees. Symmetry generates all atoms from Tb at (0.0000, 0.0000, 0.0000), Tb at (0.2219, 0.4997, 0.3342), Tb at (0.2789, 0.7510, 0.6652), Tb at (0.5000, 0.2492, 0.9998), Sm at (0.0000, 0.5000, 0.0000), Dy at (0.2209, 0.9997, 0.3341) and Dy at (0.2787, 0.2494, 0.6655).

---

3.
## TbSm6Dy (PBE)

Data for TbSm6Dy after structural relaxation.

As for the formation energy from the elements: 18 meV per atom. The density of states at the Fermi level is 13.1 states/eV per cell. The uncorrected energy comes out at -4.676 eV per atom.

The space group is P4/mmm (No. 123) and the conventional cell measures 5.1010, 5.1010 and 10.2021 Å, with angles of 90.00, 90.00 and 90.00 degrees. Symmetry generates all atoms from Tb at (0.0000, 0.0000, 0.0000), Sm at (0.0000, 0.5000, 0.2504), Sm at (0.5000, 0.5000, 0.0000), Sm at (0.5000, 0.5000, 0.5000) and Dy at (0.0000, 0.0000, 0.5000).

---

4.
## Tb5SmDy5 (PBE)

Data for Tb5SmDy5 after structural relaxation.

As for the formation energy from the elements: 324 meV per atom. The density of states at the Fermi level is 18.9 states/eV per cell. The uncorrected energy comes out at -4.301 eV per atom. The relative energy among the computed polymorphs comes out at 179.2 meV/atom.

The space group is P-6m2 (No. 187) and the conventional cell measures 6.0814, 6.0814 and 11.5020 Å, with angles of 90.00, 90.00 and 120.00 degrees. Symmetry generates all atoms from Tb at (0.0000, 0.0000, 0.2356), Tb at (0.3366, 0.1683, 0.0000), Sm at (0.3333, 0.6667, 0.5000), Dy at (0.0000, 0.0000, 0.5000), Dy at (0.3333, 0.6667, 0.1758) and Dy at (0.6667, 0.3333, 0.3418).

---

5.
## TbSm3Dy5 (PBE)

Data for TbSm3Dy5 after structural relaxation.

As for the formation energy from the elements: 518 meV per atom. The density of states at the Fermi level is 49.7 states/eV per cell. The uncorrected energy comes out at -4.126 eV per atom. The relative energy among the computed polymorphs comes out at 353.9 meV/atom.

The space group is C2/m (No. 12) and the conventional cell measures 15.2375, 11.4037 and 9.9302 Å, with angles of 90.00, 130.31 and 90.00 degrees. Symmetry generates all atoms from Tb at (0.2484, 0.0000, 0.4021), Sm at (0.0000, 0.0000, 0.0000), Sm at (0.0000, 0.5000, 0.5000), Sm at (0.0079, 0.5000, 0.8117), Sm at (0.0207, 0.0000, 0.3601), Dy at (0.0000, 0.2571, 0.0000), Dy at (0.1539, 0.2507, 0.7483), Dy at (0.2206, 0.5000, 0.2269) and Dy at (0.2238, 0.0000, 0.0405).

---

6.
## Tb4Sm6Dy (PBE)

Data for Tb4Sm6Dy after structural relaxation.

As for the formation energy from the elements: 120 meV per atom. The density of states at the Fermi level is 77.2 states/eV per cell. The uncorrected energy comes out at -4.556 eV per atom. The relative energy among the computed polymorphs comes out at 0.0 meV/atom.

The space group is Cmcm (No. 63) and the conventional cell measures 5.8498, 9.6529 and 25.6901 Å, with angles of 90.00, 90.00 and 90.00 degrees. Symmetry generates all atoms from Tb at (0.0000, 0.0485, 0.1229), Tb at (0.0000, 0.3526, 0.0438), Sm at (0.0000, 0.0000, 0.0000), Sm at (0.0000, 0.0541, 0.2500), Sm at (0.0000, 0.2956, 0.6033), Sm at (0.0000, 0.3811, 0.1823) and Dy at (0.0000, 0.2841, 0.7500).

---

7.
## Tb8Sm3Dy (PBE)

Data for Tb8Sm3Dy after structural relaxation.

As for the formation energy from the elements: 18 meV per atom. The density of states at the Fermi level is 42.8 states/eV per cell. The uncorrected energy comes out at -4.632 eV per atom.

The space group is Cm (No. 8) and the conventional cell measures 12.6129, 11.4237 and 6.3028 Å, with angles of 90.00, 119.96 and 90.00 degrees. Symmetry generates all atoms from Tb at (0.0000, 0.0000, 0.0000), Tb at (0.0000, 0.2508, 0.3324), Tb at (0.1656, 0.5000, 0.6653), Tb at (0.1669, 0.2508, 0.0007), Tb at (0.3325, 0.5000, 0.3302), Tb at (0.3338, 0.0000, 0.3318), Sm at (0.1659, 0.0000, 0.6657), Sm at (0.3343, 0.2505, 0.6670) and Dy at (0.0009, 0.5000, 0.0005).

---

8.
## Tb6Sm6Dy (PBE)

Data for Tb6Sm6Dy after structural relaxation.

As for the formation energy from the elements: 284 meV per atom. The density of states at the Fermi level is 28.1 states/eV per cell. The uncorrected energy comes out at -4.385 eV per atom.

The space group is P6/mmm (No. 191) and the conventional cell measures 6.7071, 6.7071 and 11.4023 Å, with angles of 90.00, 90.00 and 120.00 degrees. Symmetry generates all atoms from Tb at (0.0000, 0.5000, 0.2468), Sm at (0.0000, 0.0000, 0.3468), Sm at (0.3333, 0.6667, 0.0000), Sm at (0.3333, 0.6667, 0.5000) and Dy at (0.0000, 0.0000, 0.0000).

---

9.
## Tb6Sm7Dy16 (PBE)

Data for Tb6Sm7Dy16 after structural relaxation.

As for the formation energy from the elements: 251 meV per atom. The density of states at the Fermi level is 233.1 states/eV per cell. The uncorrected energy comes out at -4.385 eV per atom.

The space group is Fm-3m (No. 225) and the conventional cell measures 15.7950, 15.7950 and 15.7950 Å, with angles of 90.00, 90.00 and 90.00 degrees. Symmetry generates all atoms from Tb at (0.0000, 0.0000, 0.2317), Sm at (0.0000, 0.0000, 0.5000), Sm at (0.0000, 0.2500, 0.2500), Dy at (0.1263, 0.1263, 0.3737) and Dy at (0.1508, 0.1508, 0.1508).

---

10.
## Tb5SmDy5 (PBE)

Data for Tb5SmDy5 after structural relaxation.

As for the formation energy from the elements: 145 meV per atom. The density of states at the Fermi level is 15.4 states/eV per cell. The uncorrected energy comes out at -4.480 eV per atom. The relative energy among the computed polymorphs comes out at 0.0 meV/atom.

The space group is P-1 (No. 2) and the conventional cell measures 6.8695, 6.9415 and 8.3298 Å, with angles of 76.29, 76.82 and 72.54 degrees. Symmetry generates all atoms from Tb at (0.0000, 0.0000, 0.0000), Tb at (0.1550, 0.6334, 0.3577), Tb at (0.3543, 0.2490, 0.7184), Sm at (0.0000, 0.5000, 0.0000), Dy at (0.2112, 0.1393, 0.3110), Dy at (0.3217, 0.7713, 0.6530) and Dy at (0.5000, 0.5000, 0.0000).